No. 1
First-principles (GGA-PBE) data for crystalline Zr3Sc at its relaxed geometry, as listed in the Alexandria database.

E above lowest polymorph	0.0637	eV per atom
formation energy from the elements	0.035	eV/atom
DOS(E_F)	1.62	states/eV/atom
total energy	-31.84	eV per formula unit
SG	Cmmm, No. 65

a b c (Å): 6.4059 9.1038 3.1898
angles (deg): 90.00 90.00 90.00
Closest atoms and distances in Å follow each position.
Fractional positions:
Zr 0.0000 0.0000 0.0000  10 Zr 3.19-3.21, 2 Sc 3.20
Zr 0.2500 0.2500 0.5000  8 Zr 3.19-3.21, 4 Sc 3.21
Zr 0.2500 0.7500 0.5000  8 Zr 3.19-3.21, 4 Sc 3.21
Zr 0.5000 0.5000 0.0000  10 Zr 3.19-3.21, 2 Sc 3.20
Zr 0.7500 0.2500 0.5000  8 Zr 3.19-3.21, 4 Sc 3.21
Zr 0.7500 0.7500 0.5000  8 Zr 3.19-3.21, 4 Sc 3.21
Sc 0.0000 0.5000 0.0000  2 Sc 3.19, 10 Zr 3.20-3.21
Sc 0.5000 0.0000 0.0000  2 Sc 3.19, 10 Zr 3.20-3.21



No. 2
First-principles (GGA-PBE) data for crystalline Zr3Sc at its relaxed geometry, as listed in the Alexandria database.

E above lowest polymorph	0.0000	eV per atom
formation energy from the elements	-0.029	eV/atom
DOS(E_F)	0.81	states/eV/atom
total energy	-32.09	eV per formula unit
SG	P6_3/mmc, No. 194

a b c (Å): 6.4870 6.4870 5.1389
angles (deg): 90.00 90.00 120.00
Closest atoms and distances in Å follow each position.
Fractional positions:
Zr 0.1675 0.3349 0.2500  4 Sc 3.17-3.24, 8 Zr 3.18-3.26
Zr 0.1675 0.8325 0.2500  4 Sc 3.17-3.24, 8 Zr 3.18-3.26
Zr 0.3349 0.1675 0.7500  4 Sc 3.17-3.24, 8 Zr 3.18-3.26
Zr 0.6651 0.8325 0.2500  4 Sc 3.17-3.24, 8 Zr 3.18-3.26
Zr 0.8325 0.1675 0.7500  4 Sc 3.17-3.24, 8 Zr 3.18-3.26
Zr 0.8325 0.6651 0.7500  4 Sc 3.17-3.24, 8 Zr 3.18-3.26
Sc 0.3333 0.6667 0.7500  12 Zr 3.17-3.24
Sc 0.6667 0.3333 0.2500  12 Zr 3.17-3.24



No. 3
First-principles (GGA-PBE) data for crystalline Zr5Sc at its relaxed geometry, as listed in the Alexandria database.

formation energy from the elements	-0.017	eV/atom
DOS(E_F)	0.71	states/eV/atom
total energy	-49.17	eV per formula unit
SG	Cm, No. 8

a b c (Å): 11.7211 3.2353 7.6228
angles (deg): 90.00 103.72 90.00
Closest atoms and distances in Å follow each position.
Fractional positions:
Zr 0.0000 0.0000 0.0000  10 Zr 3.16-3.24, 2 Sc 3.27
Zr 0.0545 0.0000 0.6139  9 Zr 3.16-3.26, 3 Sc 3.17-3.18
Zr 0.1631 0.5000 0.3333  10 Zr 3.17-3.24, 2 Sc 3.24
Zr 0.2227 0.5000 0.9452  10 Zr 3.18-3.24, 2 Sc 3.18
Zr 0.3867 0.0000 0.2779  1 Sc 3.16, 11 Zr 3.17-3.26
Zr 0.5000 0.5000 0.0000  10 Zr 3.16-3.24, 2 Sc 3.27
Zr 0.5545 0.5000 0.6139  9 Zr 3.16-3.26, 3 Sc 3.17-3.18
Zr 0.6631 0.0000 0.3333  10 Zr 3.17-3.24, 2 Sc 3.24
Zr 0.7227 0.0000 0.9452  10 Zr 3.18-3.24, 2 Sc 3.18
Zr 0.8867 0.5000 0.2779  1 Sc 3.16, 11 Zr 3.17-3.26
Sc 0.3305 0.0000 0.6638  10 Zr 3.16-3.27, 2 Sc 3.24
Sc 0.8305 0.5000 0.6638  10 Zr 3.16-3.27, 2 Sc 3.24



No. 4
First-principles (GGA-PBE) data for crystalline Zr6Sc7 at its relaxed geometry, as listed in the Alexandria database.

formation energy from the elements	0.300	eV/atom
DOS(E_F)	1.83	states/eV/atom
total energy	-91.70	eV per formula unit
SG	R-3m, No. 166

a b c (Å): 10.7220 10.7220 10.7220
angles (deg): 32.42 32.42 32.42
Closest atoms and distances in Å follow each position.
Fractional positions:
Zr 0.0444 0.0444 0.0444  1 Zr 2.70
Zr 0.1464 0.1464 0.1464  1 Zr 3.10
Zr 0.3334 0.3334 0.3334  6 Sc 3.13-3.17, 3 Zr 3.46
Zr 0.6666 0.6666 0.6666  6 Sc 3.13-3.17, 3 Zr 3.46
Zr 0.8536 0.8536 0.8536  1 Zr 3.10
Zr 0.9556 0.9556 0.9556  1 Zr 2.70
Sc 0.0802 0.5896 0.5896  5 Sc 2.94-3.05, 4 Zr 3.13-3.26
Sc 0.4104 0.4104 0.9198  5 Sc 2.94-3.05, 4 Zr 3.13-3.26
Sc 0.4104 0.9198 0.4104  5 Sc 2.94-3.05, 4 Zr 3.13-3.26
Sc 0.5000 0.5000 0.5000  6 Sc 3.01
Sc 0.5896 0.0802 0.5896  5 Sc 2.94-3.05, 4 Zr 3.13-3.26
Sc 0.5896 0.5896 0.0802  5 Sc 2.94-3.05, 4 Zr 3.13-3.26
Sc 0.9198 0.4104 0.4104  5 Sc 2.94-3.05, 4 Zr 3.13-3.26



No. 5
First-principles (GGA-PBE) data for crystalline ZrSc2 at its relaxed geometry, as listed in the Alexandria database.

formation energy from the elements	-0.010	eV/atom
DOS(E_F)	1.67	states/eV/atom
total energy	-21.24	eV per formula unit
SG	Cm, No. 8

a b c (Å): 11.7725 3.2709 7.6598
angles (deg): 90.00 103.36 90.00
Closest atoms and distances in Å follow each position.
Fractional positions:
Zr 0.0000 0.0000 0.0000  8 Sc 3.17-3.29, 4 Zr 3.19-3.27
Zr 0.1569 0.5000 0.3253  8 Sc 3.15-3.35, 4 Zr 3.19-3.27
Zr 0.5000 0.5000 0.0000  8 Sc 3.17-3.29, 4 Zr 3.19-3.27
Zr 0.6569 0.0000 0.3253  8 Sc 3.15-3.35, 4 Zr 3.19-3.27
Sc 0.1058 0.5000 0.7185  9 Sc 3.17-3.31, 3 Zr 3.18-3.20
Sc 0.2756 0.0000 0.0549  5 Zr 3.17-3.22, 7 Sc 3.18-3.31
Sc 0.3304 0.0000 0.6669  8 Sc 3.17-3.27, 4 Zr 3.29-3.35
Sc 0.4400 0.5000 0.3852  4 Zr 3.15-3.26, 8 Sc 3.21-3.27
Sc 0.6058 0.0000 0.7185  9 Sc 3.17-3.31, 3 Zr 3.18-3.20
Sc 0.7756 0.5000 0.0549  5 Zr 3.17-3.22, 7 Sc 3.18-3.31
Sc 0.8304 0.5000 0.6669  8 Sc 3.17-3.27, 4 Zr 3.29-3.35
Sc 0.9400 0.0000 0.3852  4 Zr 3.15-3.26, 8 Sc 3.21-3.27



No. 6
First-principles (GGA-PBE) data for crystalline ZrSc3 at its relaxed geometry, as listed in the Alexandria database.

E above lowest polymorph	0.0223	eV per atom
formation energy from the elements	0.012	eV/atom
DOS(E_F)	1.74	states/eV/atom
total energy	-27.50	eV per formula unit
SG	Pnma, No. 62

a b c (Å): 5.6283 10.3978 6.5361
angles (deg): 90.00 90.00 90.00
Closest atoms and distances in Å follow each position.
Fractional positions:
Zr 0.0816 0.2500 0.1298  10 Sc 3.18-3.32, 2 Zr 3.22
Zr 0.4184 0.7500 0.6298  10 Sc 3.18-3.32, 2 Zr 3.22
Zr 0.5816 0.2500 0.3702  10 Sc 3.18-3.32, 2 Zr 3.22
Zr 0.9184 0.7500 0.8702  10 Sc 3.18-3.32, 2 Zr 3.22
Sc 0.0854 0.2500 0.6220  8 Sc 3.21-3.27, 4 Zr 3.22-3.32
Sc 0.2432 0.0001 0.8751  3 Zr 3.18-3.22, 9 Sc 3.19-3.32
Sc 0.2432 0.4999 0.8751  3 Zr 3.18-3.22, 9 Sc 3.19-3.32
Sc 0.2568 0.9999 0.3751  3 Zr 3.18-3.22, 9 Sc 3.19-3.32
Sc 0.2568 0.5001 0.3751  3 Zr 3.18-3.22, 9 Sc 3.19-3.32
Sc 0.4146 0.7500 0.1220  8 Sc 3.21-3.27, 4 Zr 3.22-3.32
Sc 0.5854 0.2500 0.8780  8 Sc 3.21-3.27, 4 Zr 3.22-3.32
Sc 0.7432 0.0001 0.6249  3 Zr 3.18-3.22, 9 Sc 3.19-3.32
Sc 0.7432 0.4999 0.6249  3 Zr 3.18-3.22, 9 Sc 3.19-3.32
Sc 0.7568 0.9999 0.1249  3 Zr 3.18-3.22, 9 Sc 3.19-3.32
Sc 0.7568 0.5001 0.1249  3 Zr 3.18-3.22, 9 Sc 3.19-3.32
Sc 0.9146 0.7500 0.3780  8 Sc 3.21-3.27, 4 Zr 3.22-3.32



No. 7
First-principles (GGA-PBE) data for crystalline Zr3Sc at its relaxed geometry, as listed in the Alexandria database.

E above lowest polymorph	0.0612	eV per atom
formation energy from the elements	0.032	eV/atom
DOS(E_F)	1.43	states/eV/atom
total energy	-31.85	eV per formula unit
SG	P4/mmm, No. 123

a b c (Å): 3.1860 3.1860 9.2213
angles (deg): 90.00 90.00 90.00
Closest atoms and distances in Å follow each position.
Fractional positions:
Zr 0.0000 0.0000 0.0000  12 Zr 3.19
Zr 0.5000 0.5000 0.2454  8 Zr 3.19, 4 Sc 3.25
Zr 0.5000 0.5000 0.7546  8 Zr 3.19, 4 Sc 3.25
Sc 0.0000 0.0000 0.5000  4 Sc 3.19, 8 Zr 3.25



No. 8
First-principles (GGA-PBE) data for crystalline Zr4Sc3 at its relaxed geometry, as listed in the Alexandria database.

E above lowest polymorph	0.3056	eV per atom
formation energy from the elements	0.290	eV/atom
DOS(E_F)	1.98	states/eV/atom
total energy	-51.16	eV per formula unit
SG	P6/mmm, No. 191

a b c (Å): 5.8895 5.8895 5.6178
angles (deg): 90.00 90.00 120.00
Closest atoms and distances in Å follow each position.
Fractional positions:
Zr 0.0000 0.0000 0.2375  2 Zr 2.67-2.95
Zr 0.0000 0.0000 0.7625  2 Zr 2.67-2.95
Zr 0.3333 0.6667 0.0000  6 Sc 3.28, 9 Zr 3.40-3.65
Zr 0.6667 0.3333 0.0000  6 Sc 3.28, 9 Zr 3.40-3.65
Sc 0.0000 0.5000 0.5000  4 Sc 2.94, 8 Zr 3.28-3.29
Sc 0.5000 0.0000 0.5000  4 Sc 2.94, 8 Zr 3.28-3.29
Sc 0.5000 0.5000 0.5000  4 Sc 2.94, 8 Zr 3.28-3.29



total energy of number 2 (Zr3Sc)? -32.09 eV per formula unit